1.
A crystal of CdHg2Sb relaxed with PBEsol, computed with SCAN.

```
CdHg2Sb
1.0
3.474 0.000 0.000
1.737 3.008 0.000
1.737 1.003 9.160
Sb Hg Cd
1 2 1
direct
0.502 0.502 0.494 Sb
0.998 0.998 0.005 Hg
0.746 0.746 0.761 Hg
0.254 0.254 0.239 Cd
```

## Properties
- Energy relative to the elements, uncorrected: 97 meV/atom
- Relative energy among the computed polymorphs: 7.98 kJ per mole of atoms
- Spin magnetization: 0.000 μB/atom

---

2.
A crystal of CuSNO2 relaxed with PBEsol, computed with SCAN.

```
CuSNO2
1.0
-1.599 2.803 1.695
-2.949 -0.410 -2.103
-1.482 -2.383 2.543
S O Cu N
1 2 1 1
direct
0.500 0.500 0.500 S
0.000 0.500 0.000 O
0.500 0.000 0.000 O
0.000 0.000 0.000 Cu
0.000 0.000 0.500 N
```

## Properties
- Energy relative to the elements, uncorrected: 1194 meV/atom
- Spin magnetization: 0.001 μB/atom

---

3.
A crystal of La2HSBr relaxed with PBEsol, computed with SCAN.

```
La2HSBr
1.0
-1.091 2.361 2.563
-0.531 -4.196 3.640
5.299 0.715 1.597
H S Br La
1 1 1 2
direct
0.500 0.000 0.000 H
0.500 0.500 0.500 S
0.000 0.000 0.000 Br
0.000 0.000 0.500 La
0.000 0.500 0.000 La
```

## Properties
- Spin magnetization: 0.000 μB/atom
- Final energy: -0.89330 hartree per atom

---

4.
A crystal of TlNi2S2 relaxed with PBEsol, computed with SCAN.

```
TlNi2S2
1.0
-2.427 -2.768 0.513
1.101 -1.556 -3.190
5.012 -1.081 4.421
Ni Tl S
2 1 2
direct
0.250 0.750 0.500 Ni
0.750 0.250 0.500 Ni
0.000 0.000 0.000 Tl
0.347 0.347 0.694 S
0.653 0.653 0.306 S
```

## Properties
- Energy relative to the elements, uncorrected: -345 meV/atom
- Spin magnetization: 0.000 μB/atom

---

5.
A crystal of BaSr2Be relaxed with PBEsol, computed with SCAN.

```
BaSr2Be
1.0
-3.698 2.875 -1.241
-3.574 -4.056 1.251
-0.296 1.870 5.216
Sr Ba Be
2 1 1
direct
0.000 0.000 0.500 Sr
0.000 0.500 0.000 Sr
0.500 0.500 0.500 Ba
0.500 0.000 0.000 Be
```

## Properties
- Energy of formation: 202 kJ/mol of formula units
- Spin magnetization: 0.000 μB/atom

---

6.
A crystal of CoNiIr2 relaxed with PBEsol, computed with SCAN.

```
CoNiIr2
1.0
2.632 0.000 0.000
0.000 2.632 0.000
0.000 0.000 7.057
Ni Ir Co
1 2 1
direct
0.500 0.500 0.000 Ni
0.000 0.000 0.747 Ir
0.000 0.000 0.253 Ir
0.500 0.500 0.500 Co
```

## Properties
- Energy of formation: 18 kJ/mol of formula units
- Relative energy among the computed polymorphs: 4.00 kJ per mole of atoms
- Spin magnetization: 0.228 μB/atom

---

7.
A crystal of Li2InCu2 relaxed with PBEsol, computed with SCAN.

```
Li2InCu2
1.0
3.373 0.000 0.000
0.000 3.373 0.000
-1.687 -1.687 6.826
Cu In Li
2 1 2
direct
0.250 0.750 0.500 Cu
0.750 0.250 0.500 Cu
0.000 0.000 0.000 In
0.611 0.611 0.221 Li
0.389 0.389 0.779 Li
```

## Properties
- Energy of formation: 13 kJ/mol of formula units
- Spin magnetization: 0.000 μB/atom

---

8.
A crystal of YZrW2 relaxed with PBEsol, computed with SCAN.

```
YZrW2
1.0
-1.465 1.601 -1.750
-3.364 -4.353 -1.166
-1.281 3.463 4.241
W Y Zr
2 1 1
direct
0.000 0.500 0.000 W
0.000 0.000 0.500 W
0.500 0.000 0.000 Y
0.500 0.500 0.500 Zr
```

## Properties
- Energy of formation: 244 kJ/mol of formula units
- Relative energy among the computed polymorphs: 22.25 kJ per mole of atoms
- Spin magnetization: 0.000 μB/atom

---

9.
A crystal of NiHgTe2 relaxed with PBEsol, computed with SCAN.

```
NiHgTe2
1.0
3.805 0.000 0.000
1.903 3.296 0.000
1.903 1.099 7.260
Ni Te Hg
1 2 1
direct
0.000 0.000 0.000 Ni
0.272 0.272 0.184 Te
0.728 0.728 0.816 Te
0.500 0.500 0.500 Hg
```

## Properties
- Energy relative to the elements, uncorrected: -156 meV/atom
- Spin magnetization: 0.034 μB/atom

---

10.
A crystal of BaZnSnS4 relaxed with PBEsol, computed with SCAN.

```
BaZnSnS4
1.0
12.367 -0.002 0.000
-5.946 10.844 0.000
-3.210 -5.421 10.934
Ba Zn Sn S
8 8 8 32
direct
0.751 0.249 0.997 Ba
0.252 0.754 0.003 Ba
0.499 0.501 0.497 Ba
0.004 0.002 0.503 Ba
0.750 0.750 0.000 Ba
0.000 0.500 0.500 Ba
0.253 0.253 0.000 Ba
0.503 0.003 0.500 Ba
0.410 0.267 0.749 Zn
0.911 0.267 0.751 Zn
0.517 0.160 0.249 Zn
0.517 0.661 0.251 Zn
0.486 0.763 0.749 Zn
0.014 0.737 0.251 Zn
0.013 0.236 0.249 Zn
0.987 0.764 0.751 Zn
0.846 0.986 0.750 Sn
0.762 0.489 0.749 Sn
0.264 0.490 0.751 Sn
0.739 0.512 0.249 Sn
0.237 0.096 0.250 Sn
0.346 0.987 0.750 Sn
0.236 0.596 0.250 Sn
0.740 0.014 0.251 Sn
0.462 0.212 0.914 S
0.298 0.548 0.086 S
0.462 0.212 0.414 S
0.798 0.048 0.586 S
0.959 0.708 0.414 S
0.294 0.546 0.586 S
0.958 0.709 0.914 S
0.796 0.044 0.086 S
0.557 0.468 0.748 S
0.720 0.809 0.252 S
0.718 0.307 0.248 S
0.059 0.470 0.752 S
0.530 0.964 0.748 S
0.216 0.782 0.252 S
0.214 0.280 0.248 S
0.032 0.966 0.752 S
0.683 0.778 0.748 S
0.030 0.935 0.252 S
0.028 0.433 0.248 S
0.185 0.780 0.752 S
0.726 0.282 0.748 S
0.534 0.978 0.252 S
0.532 0.476 0.248 S
0.228 0.284 0.752 S
0.460 0.713 0.914 S
0.799 0.546 0.086 S
0.963 0.210 0.414 S
0.796 0.549 0.586 S
0.296 0.046 0.585 S
0.460 0.710 0.415 S
0.296 0.046 0.085 S
0.960 0.210 0.915 S
```

## Properties
- Energy relative to the elements, uncorrected: -1186 meV/atom
- Spin magnetization: 0.000 μB/atom

---

11.
A crystal of CrPt2 relaxed with PBEsol, computed with SCAN.

```
CrPt2
1.0
4.329 0.000 0.000
2.165 4.415 0.000
2.165 0.000 4.415
Cr Pt
2 4
direct
0.250 0.000 0.000 Cr
0.750 0.000 0.000 Cr
0.153 0.500 0.195 Pt
0.347 0.805 0.500 Pt
0.653 0.195 0.500 Pt
0.847 0.500 0.805 Pt
```

## Properties
- Energy of formation: 4 kJ/mol of formula units
- Spin magnetization: 0.342 μB/atom

---

12.
A crystal of KP2ClF relaxed with PBEsol, computed with SCAN.

```
KP2ClF
1.0
4.140 0.000 0.000
0.000 4.140 0.000
0.000 0.000 6.452
P K F Cl
2 1 1 1
direct
0.000 0.500 0.000 P
0.500 0.000 0.000 P
0.500 0.500 0.500 K
0.000 0.000 0.000 F
0.000 0.000 0.500 Cl
```

## Properties
- Energy relative to the elements, uncorrected: -178 meV/atom
- Spin magnetization: 0.000 μB/atom

---

13.
A crystal of CsLaSiNi2 relaxed with PBEsol, computed with SCAN.

```
CsLaSiNi2
1.0
4.749 0.000 0.000
0.000 4.749 0.000
0.000 0.000 5.512
Cs Ni Si La
1 2 1 1
direct
0.000 0.000 0.000 Cs
0.000 0.500 0.000 Ni
0.500 0.000 0.000 Ni
0.000 0.000 0.500 Si
0.500 0.500 0.500 La
```

## Properties
- Energy relative to the elements, uncorrected: 1503 meV/atom
- Spin magnetization: 0.000 μB/atom

---

14.
A crystal of AsRuCl2 relaxed with PBEsol, computed with SCAN.

```
AsRuCl2
1.0
2.947 0.000 0.000
1.474 2.552 0.000
1.474 0.851 9.102
Ru As Cl
1 1 2
direct
0.000 0.000 0.000 Ru
0.500 0.500 0.500 As
0.919 0.919 0.242 Cl
0.081 0.081 0.758 Cl
```

## Properties
- Energy relative to the elements, uncorrected: 416 meV/atom
- Relative energy among the computed polymorphs: 82.82 kJ per mole of atoms
- Spin magnetization: 0.000 μB/atom

---

15.
A crystal of SrWSN2 relaxed with PBEsol, computed with SCAN.

```
SrWSN2
1.0
-2.122 2.922 2.164
-2.993 0.019 -2.961
-2.628 -3.858 2.633
Sr S W N
1 1 1 2
direct
0.000 0.000 0.000 Sr
0.000 0.000 0.500 S
0.500 0.500 0.500 W
0.000 0.500 0.000 N
0.500 0.000 0.000 N
```

## Properties
- Energy relative to the elements, uncorrected: 2341 meV/atom
- Spin magnetization: 0.185 μB/atom

---

16.
A crystal of ZnSiN2F relaxed with PBEsol, computed with SCAN.

```
ZnSiN2F
1.0
3.594 0.000 0.000
0.000 3.594 0.000
0.000 0.000 3.585
Zn N Si F
1 2 1 1
direct
0.500 0.500 0.500 Zn
0.000 0.500 0.000 N
0.500 0.000 0.000 N
0.000 0.000 0.000 Si
0.000 0.000 0.500 F
```

## Properties
- Energy relative to the elements, uncorrected: -444 meV/atom
- Spin magnetization: 0.000 μB/atom

---

17.
A crystal of PrNd3 relaxed with PBEsol, computed with SCAN.

```
PrNd3
1.0
5.104 0.000 0.000
0.000 5.104 0.000
-2.552 -2.552 5.098
Pr Nd
1 3
direct
0.000 0.000 0.000 Pr
0.250 0.750 0.500 Nd
0.750 0.250 0.500 Nd
0.500 0.500 0.000 Nd
```

## Properties
- Energy of formation: 4 kJ/mol of formula units
- Spin magnetization: 0.007 μB/atom

---

18.
A crystal of ScAl2Ir relaxed with PBEsol, computed with SCAN.

```
ScAl2Ir
1.0
2.983 0.000 -0.014
0.000 4.344 0.000
-0.847 0.000 5.040
Sc Ir Al
1 1 2
direct
0.000 0.500 0.500 Sc
0.500 0.500 0.000 Ir
0.629 0.000 0.766 Al
0.371 0.000 0.234 Al
```

## Properties
- Energy of formation: -277 kJ/mol of formula units
- Spin magnetization: 0.000 μB/atom

---

19.
A crystal of K2AgI3 relaxed with PBEsol, computed with SCAN.

```
K2AgI3
1.0
-3.519 3.002 0.851
-5.994 -7.609 2.054
5.224 0.878 18.498
K Ag I
8 4 12
direct
0.250 0.254 0.461 K
0.750 0.746 0.539 K
0.250 0.754 0.039 K
0.750 0.246 0.961 K
0.250 0.577 0.788 K
0.750 0.923 0.288 K
0.250 0.077 0.712 K
0.750 0.423 0.212 K
0.750 0.366 0.637 Ag
0.750 0.866 0.863 Ag
0.250 0.634 0.363 Ag
0.250 0.134 0.137 Ag
0.250 0.005 0.900 I
0.750 0.495 0.400 I
0.750 0.809 0.721 I
0.250 0.691 0.221 I
0.750 0.615 0.930 I
0.250 0.385 0.070 I
0.750 0.995 0.100 I
0.250 0.885 0.430 I
0.750 0.115 0.570 I
0.250 0.191 0.279 I
0.750 0.309 0.779 I
0.250 0.505 0.600 I
```

## Properties
- Energy relative to the elements, uncorrected: -1179 meV/atom
- Spin magnetization: 0.000 μB/atom

---

20.
A crystal of KLa2Re relaxed with PBEsol, computed with SCAN.

```
KLa2Re
1.0
3.037 -0.013 -0.019
-1.395 6.035 -0.042
-1.395 -2.361 5.554
K La Re
1 2 1
direct
0.500 0.500 0.500 K
0.000 0.500 0.000 La
0.000 0.000 0.500 La
0.500 0.000 0.000 Re
```

## Properties
- Energy of formation: 390 kJ/mol of formula units
- Relative energy among the computed polymorphs: 47.17 kJ per mole of atoms
- Spin magnetization: 0.000 μB/atom